GGA-PBE DyErMg, optimized geometry; total moment = 0.000 μB per atom; VASP energy = -10.62 eV/cell; energy relative to the lowest polymorph listed for this composition = 82 meV/atom
1.0
-1.630 -2.875 -0.600
-0.122 -1.040 5.313
-4.038 2.772 -2.310
Dy Mg Er
1 1 1
direct
0.623 0.667 0.333
0.327 0.333 0.667
0.050 0.000 0.000

---

GGA-PBE Dy6Er3Mg, optimized geometry; total moment = 0.000 μB per atom; VASP energy = -85.41 eV/cell; energy relative to the lowest polymorph listed for this composition = 0 meV/atom
1.0
4.972 0.000 0.000
0.000 11.044 -0.164
0.000 0.106 11.102
Dy Er Mg
12 6 2
direct
0.250 0.851 0.304
0.250 0.449 0.102
0.250 0.652 0.700
0.750 0.850 0.802
0.250 0.049 0.900
0.250 0.248 0.499
0.250 0.150 0.198
0.750 0.551 0.898
0.750 0.752 0.501
0.750 0.951 0.100
0.750 0.149 0.696
0.750 0.348 0.300
0.250 0.349 0.797
0.750 0.249 0.997
0.750 0.651 0.203
0.250 0.751 0.003
0.250 0.551 0.400
0.750 0.449 0.600
0.750 0.048 0.403
0.250 0.952 0.597

---

GGA-PBE Dy2Er2Mg, optimized geometry; total moment = 0.000 μB per atom; VASP energy = -39.98 eV/cell; energy relative to the lowest polymorph listed for this composition = 0 meV/atom
1.0
-1.577 -1.392 -2.838
6.301 -0.687 -3.165
-2.781 -9.573 8.441
Dy Er Mg
4 4 2
direct
0.406 0.358 0.811
0.594 0.642 0.189
0.405 0.858 0.811
0.595 0.142 0.189
0.198 0.547 0.395
0.802 0.953 0.605
0.198 0.047 0.395
0.802 0.453 0.605
0.000 0.750 0.000
0.000 0.250 0.000

---

Number 1: E_form 0.05 eV per atom. Number 2: E_form 0.02 eV per atom. Number 3: E_form -0.01 eV per atom.